1.
A relaxed structure of LiSbAsBr2, computed with GGA-PBE.

CIF file:
```
data_LiSbAsBr2
_chemical_formula_sum 'Li1 Sb1 As1 Br2'
_cell_length_a 5.7832
_cell_length_b 5.7832
_cell_length_c 5.3651
_cell_angle_alpha 90.00
_cell_angle_beta 90.00
_cell_angle_gamma 90.00
_symmetry_space_group_name_H-M 'P 4/m m m'
_symmetry_Int_Tables_number 123
_symmetry_space_group_name_Hall '-P 4 2'
loop_
_atom_site_label
_atom_site_type_symbol
_atom_site_fract_x
_atom_site_fract_y
_atom_site_fract_z
Li1 Li 0.0000 0.0000 0.0000
Sb1 Sb 0.5000 0.5000 0.5000
As1 As 0.5000 0.5000 0.0000
Br1 Br 0.0000 0.5000 0.5000
```

## Properties
As for the energy above the most stable polymorph in this dataset: 0 meV per atom.


2.
A relaxed structure of LiScAsBr2, computed with GGA-PBE.

CIF file:
```
data_LiScAsBr2
_chemical_formula_sum 'Li1 Sc1 As1 Br2'
_cell_length_a 5.3359
_cell_length_b 5.3359
_cell_length_c 5.2881
_cell_angle_alpha 90.00
_cell_angle_beta 90.00
_cell_angle_gamma 90.00
_symmetry_space_group_name_H-M 'P 4/m m m'
_symmetry_Int_Tables_number 123
_symmetry_space_group_name_Hall '-P 4 2'
loop_
_atom_site_label
_atom_site_type_symbol
_atom_site_fract_x
_atom_site_fract_y
_atom_site_fract_z
Li1 Li 0.0000 0.0000 0.0000
Sc1 Sc 0.5000 0.5000 0.5000
As1 As 0.5000 0.5000 0.0000
Br1 Br 0.0000 0.5000 0.5000
```

## Properties
As for the energy above the most stable polymorph in this dataset: 0 meV per atom.


3.
A relaxed structure of LiScAsBr2, computed with GGA-PBE.

CIF file:
```
data_LiScAsBr2
_chemical_formula_sum 'Li1 Sc1 As1 Br2'
_cell_length_a 4.6524
_cell_length_b 4.6524
_cell_length_c 5.3854
_cell_angle_alpha 90.00
_cell_angle_beta 90.00
_cell_angle_gamma 90.00
_symmetry_space_group_name_H-M 'P 4/m m m'
_symmetry_Int_Tables_number 123
_symmetry_space_group_name_Hall '-P 4 2'
loop_
_atom_site_label
_atom_site_type_symbol
_atom_site_fract_x
_atom_site_fract_y
_atom_site_fract_z
Li1 Li 0.0000 0.0000 0.0000
Sc1 Sc 0.5000 0.5000 0.5000
As1 As 0.0000 0.0000 0.5000
Br1 Br 0.0000 0.5000 0.0000
```

## Properties
As for the energy above the most stable polymorph in this dataset: 393 meV per atom.


4.
A relaxed structure of LiSnAsBr2, computed with GGA-PBE.

CIF file:
```
data_LiSnAsBr2
_chemical_formula_sum 'Li1 Sn1 As1 Br2'
_cell_length_a 5.7916
_cell_length_b 5.7916
_cell_length_c 5.2978
_cell_angle_alpha 90.00
_cell_angle_beta 90.00
_cell_angle_gamma 90.00
_symmetry_space_group_name_H-M 'P 4/m m m'
_symmetry_Int_Tables_number 123
_symmetry_space_group_name_Hall '-P 4 2'
loop_
_atom_site_label
_atom_site_type_symbol
_atom_site_fract_x
_atom_site_fract_y
_atom_site_fract_z
Li1 Li 0.0000 0.0000 0.0000
Sn1 Sn 0.5000 0.5000 0.5000
As1 As 0.5000 0.5000 0.0000
Br1 Br 0.0000 0.5000 0.5000
```

## Properties
As for the energy above the most stable polymorph in this dataset: 0 meV per atom.


5.
A relaxed structure of LiSnAs2Br, computed with GGA-PBE.

CIF file:
```
data_LiSnAs2Br
_chemical_formula_sum 'Li1 Sn1 As2 Br1'
_cell_length_a 4.6630
_cell_length_b 4.6630
_cell_length_c 5.3173
_cell_angle_alpha 90.00
_cell_angle_beta 90.00
_cell_angle_gamma 90.00
_symmetry_space_group_name_H-M 'P 4/m m m'
_symmetry_Int_Tables_number 123
_symmetry_space_group_name_Hall '-P 4 2'
loop_
_atom_site_label
_atom_site_type_symbol
_atom_site_fract_x
_atom_site_fract_y
_atom_site_fract_z
Li1 Li 0.0000 0.0000 0.0000
Sn1 Sn 0.5000 0.5000 0.5000
As1 As 0.0000 0.5000 0.0000
Br1 Br 0.0000 0.0000 0.5000
```

## Properties
As for the energy above the most stable polymorph in this dataset: 0 meV per atom.


6.
A relaxed structure of LiSnAsBr, computed with GGA-PBE.

CIF file:
```
data_LiSnAsBr
_chemical_formula_sum 'Li2 Sn2 As2 Br2'
_cell_length_a 6.6950
_cell_length_b 5.1693
_cell_length_c 6.5344
_cell_angle_alpha 90.00
_cell_angle_beta 90.90
_cell_angle_gamma 90.00
_symmetry_space_group_name_H-M 'C 1 m 1'
_symmetry_Int_Tables_number 8
_symmetry_space_group_name_Hall 'C -2y'
loop_
_atom_site_label
_atom_site_type_symbol
_atom_site_fract_x
_atom_site_fract_y
_atom_site_fract_z
Li1 Li 0.0000 0.0000 0.0000
Sn1 Sn 0.1410 0.5000 0.5328
As1 As 0.0344 0.0000 0.5854
Br1 Br 0.1200 0.5000 0.0810
```

## Properties
As for the energy above the most stable polymorph in this dataset: 19 meV per atom.


7.
A relaxed structure of LiSnAsBr, computed with GGA-PBE.

CIF file:
```
data_LiSnAsBr
_chemical_formula_sum 'Li2 Sn2 As2 Br2'
_cell_length_a 7.2004
_cell_length_b 4.1641
_cell_length_c 7.9511
_cell_angle_alpha 90.00
_cell_angle_beta 107.27
_cell_angle_gamma 90.00
_symmetry_space_group_name_H-M 'C 1 m 1'
_symmetry_Int_Tables_number 8
_symmetry_space_group_name_Hall 'C -2y'
loop_
_atom_site_label
_atom_site_type_symbol
_atom_site_fract_x
_atom_site_fract_y
_atom_site_fract_z
Li1 Li 0.0000 0.0000 0.0000
Sn1 Sn 0.1548 0.0000 0.4764
As1 As 0.3732 0.5000 0.6341
Br1 Br 0.3645 0.0000 0.0949
```

## Properties
As for the energy above the most stable polymorph in this dataset: 0 meV per atom.


8.
A relaxed structure of LiSnAsBr, computed with GGA-PBE.

CIF file:
```
data_LiSnAsBr
_chemical_formula_sum 'Li1 Sn1 As1 Br1'
_cell_length_a 3.9273
_cell_length_b 3.9273
_cell_length_c 6.4565
_cell_angle_alpha 90.00
_cell_angle_beta 90.00
_cell_angle_gamma 90.00
_symmetry_space_group_name_H-M 'P 4 m m'
_symmetry_Int_Tables_number 99
_symmetry_space_group_name_Hall 'P 4 -2'
loop_
_atom_site_label
_atom_site_type_symbol
_atom_site_fract_x
_atom_site_fract_y
_atom_site_fract_z
Li1 Li 0.0000 0.0000 0.0000
Sn1 Sn 0.5000 0.5000 0.5228
As1 As 0.0000 0.0000 0.5770
Br1 Br 0.5000 0.5000 0.0653
```

## Properties
As for the energy above the most stable polymorph in this dataset: 13 meV per atom.


9.
A relaxed structure of LiSnAsBr, computed with GGA-PBE.

CIF file:
```
data_LiSnAsBr
_chemical_formula_sum 'Li1 Sn1 As1 Br1'
_cell_length_a 4.0986
_cell_length_b 4.1056
_cell_length_c 7.3102
_cell_angle_alpha 89.67
_cell_angle_beta 89.91
_cell_angle_gamma 60.12
_symmetry_space_group_name_H-M 'P 1'
_symmetry_Int_Tables_number 1
_symmetry_space_group_name_Hall 'P 1'
loop_
_atom_site_label
_atom_site_type_symbol
_atom_site_fract_x
_atom_site_fract_y
_atom_site_fract_z
Li1 Li 0.0000 0.0000 0.0000
Sn1 Sn 0.0019 0.9822 0.5168
As1 As 0.3356 0.3145 0.6920
Br1 Br 0.6675 0.6630 0.1279
```

## Properties
As for the energy above the most stable polymorph in this dataset: 4 meV per atom.


10.
A relaxed structure of SrLiAsBr2, computed with GGA-PBE.

CIF file:
```
data_SrLiAsBr2
_chemical_formula_sum 'Sr1 Li1 As1 Br2'
_cell_length_a 5.0624
_cell_length_b 5.0624
_cell_length_c 5.2547
_cell_angle_alpha 90.00
_cell_angle_beta 90.00
_cell_angle_gamma 90.00
_symmetry_space_group_name_H-M 'P 4/m m m'
_symmetry_Int_Tables_number 123
_symmetry_space_group_name_Hall '-P 4 2'
loop_
_atom_site_label
_atom_site_type_symbol
_atom_site_fract_x
_atom_site_fract_y
_atom_site_fract_z
Sr1 Sr 0.0000 0.0000 0.0000
Li1 Li 0.5000 0.5000 0.5000
As1 As 0.5000 0.5000 0.0000
Br1 Br 0.0000 0.5000 0.5000
```

## Properties
As for the energy above the most stable polymorph in this dataset: 0 meV per atom.


11.
A relaxed structure of SrLiAsBr2, computed with GGA-PBE.

CIF file:
```
data_SrLiAsBr2
_chemical_formula_sum 'Sr1 Li1 As1 Br2'
_cell_length_a 5.9509
_cell_length_b 5.9509
_cell_length_c 6.2186
_cell_angle_alpha 90.00
_cell_angle_beta 90.00
_cell_angle_gamma 90.00
_symmetry_space_group_name_H-M 'P 4/m m m'
_symmetry_Int_Tables_number 123
_symmetry_space_group_name_Hall '-P 4 2'
loop_
_atom_site_label
_atom_site_type_symbol
_atom_site_fract_x
_atom_site_fract_y
_atom_site_fract_z
Sr1 Sr 0.0000 0.0000 0.0000
Li1 Li 0.5000 0.5000 0.5000
As1 As 0.0000 0.0000 0.5000
Br1 Br 0.0000 0.5000 0.0000
```

## Properties
As for the energy above the most stable polymorph in this dataset: 208 meV per atom.


12.
A relaxed structure of LiTaAs2Br, computed with GGA-PBE.

CIF file:
```
data_LiTaAs2Br
_chemical_formula_sum 'Li1 Ta1 As2 Br1'
_cell_length_a 4.5121
_cell_length_b 4.5121
_cell_length_c 4.7692
_cell_angle_alpha 90.00
_cell_angle_beta 90.00
_cell_angle_gamma 90.00
_symmetry_space_group_name_H-M 'P 4/m m m'
_symmetry_Int_Tables_number 123
_symmetry_space_group_name_Hall '-P 4 2'
loop_
_atom_site_label
_atom_site_type_symbol
_atom_site_fract_x
_atom_site_fract_y
_atom_site_fract_z
Li1 Li 0.0000 0.0000 0.0000
Ta1 Ta 0.5000 0.5000 0.5000
As1 As 0.0000 0.5000 0.0000
Br1 Br 0.0000 0.0000 0.5000
```

## Properties
As for the energy above the most stable polymorph in this dataset: 887 meV per atom.